# 1
## SrSnTeO2 (PBE)

Data for crystalline SrSnTeO2 at its relaxed geometry.

Cell and atoms, written as CIF:
```
data_SrSnTeO2
_cell_length_a 4.540
_cell_length_b 9.565
_cell_length_c 4.540
_cell_angle_alpha 90.00
_cell_angle_beta 90.00
_cell_angle_gamma 90.00
_symmetry_space_group_name_H-M 'P 1'
_symmetry_Int_Tables_number 1
_symmetry_space_group_name_Hall 'P 1'
loop_
_atom_site_label
_atom_site_type_symbol
_atom_site_fract_x
_atom_site_fract_y
_atom_site_fract_z
Sr1 Sr 0.000 0.000 0.000
Te1 Te 0.500 0.500 0.500
Sn1 Sn 0.000 0.500 0.000
O1 O 0.000 0.000 0.500
O2 O 0.500 0.000 0.000
```

Output
For the energy relative to the lowest polymorph listed for this composition, the calculation gives 1159 meV/atom. The uncorrected formation energy comes out at -0.368 eV/atom. The density of states at the Fermi level is 2.180 states/eV/cell.


# 2
## LiNd2ScS5 (PBE)

Data for crystalline LiNd2ScS5 at its relaxed geometry.

Cell and atoms, written as CIF:
```
data_LiNd2ScS5
_cell_length_a 3.929
_cell_length_b 8.391
_cell_length_c 11.678
_cell_angle_alpha 90.00
_cell_angle_beta 90.00
_cell_angle_gamma 103.54
_symmetry_space_group_name_H-M 'P 1'
_symmetry_Int_Tables_number 1
_symmetry_space_group_name_Hall 'P 1'
loop_
_atom_site_label
_atom_site_type_symbol
_atom_site_fract_x
_atom_site_fract_y
_atom_site_fract_z
Li1 Li 0.544 0.088 0.966
Li2 Li 0.456 0.912 0.466
Nd1 Nd 0.871 0.742 0.802
Nd2 Nd 0.106 0.211 0.685
Nd3 Nd 0.129 0.258 0.302
Nd4 Nd 0.894 0.789 0.185
Sc1 Sc 0.800 0.600 0.509
Sc2 Sc 0.200 0.400 0.009
S1 S 0.360 0.719 0.999
S2 S 0.690 0.380 0.858
S3 S 0.497 0.994 0.779
S4 S 0.283 0.565 0.659
S5 S 0.945 0.891 0.566
S6 S 0.640 0.281 0.499
S7 S 0.310 0.620 0.358
S8 S 0.503 0.006 0.279
S9 S 0.717 0.435 0.159
S10 S 0.055 0.109 0.066
```

Output
The uncorrected formation energy comes out at -1.882 eV/atom.